# 1
A relaxed Cu2NiPt3 crystal, computed with PBE-GGA.

Polymorph energy (0 for the lowest one): 1.01 eV/f.u.

abc: 7.459 7.459 4.621
angles: 90.00 90.00 41.11
Element x y z (fractional)
Cu1 0.026 0.273 0.000
Cu2 0.273 0.026 0.500
Cu3 0.727 0.974 0.000
Cu4 0.974 0.727 0.500
Ni1 0.129 0.871 0.830
Ni2 0.871 0.129 0.330
Pt1 0.193 0.467 0.998
Pt2 0.369 0.631 0.316
Pt3 0.467 0.193 0.498
Pt4 0.533 0.807 0.998
Pt5 0.631 0.369 0.816
Pt6 0.807 0.533 0.498



# 2
A relaxed SrHfHg3 crystal, computed with PBE-GGA.

Polymorph energy (0 for the lowest one): 4.74 eV/f.u.

abc: 5.798 5.798 5.798
angles: 90.00 90.00 90.00
Element x y z (fractional)
Sr1 0.000 0.000 0.000
Hf1 0.500 0.500 0.500
Hg1 0.000 0.000 0.500
Hg2 0.000 0.500 0.000
Hg3 0.500 0.000 0.000



# 3
A relaxed Na5ThSe4 crystal, computed with PBE-GGA.

ΔE_f (raw): -1156.9 meV/atom

abc: 9.312 9.312 8.353
angles: 102.82 102.82 27.03
Element x y z (fractional)
Na1 0.000 0.000 0.000
Na2 0.326 0.326 0.627
Na3 0.332 0.332 0.175
Na4 0.668 0.668 0.825
Na5 0.674 0.674 0.373
Th1 0.000 0.000 0.500
Se1 0.162 0.162 0.596
Se2 0.496 0.496 0.743
Se3 0.504 0.504 0.257
Se4 0.838 0.838 0.404



# 4
A relaxed LuThNiAu crystal, computed with PBE-GGA.

Final energy: -5.735 eV per atom

abc: 5.020 5.020 5.020
angles: 60.00 60.00 60.00
Element x y z (fractional)
Lu1 0.000 0.000 0.000
Th1 0.500 0.500 0.500
Ni1 0.250 0.250 0.250
Au1 0.750 0.750 0.750



# 5
A relaxed HgPd4Se crystal, computed with PBE-GGA.

Polymorph energy (0 for the lowest one): 0.06 eV/f.u.
ΔE_f (raw): -90.3 meV/atom

abc: 5.373 5.373 8.147
angles: 96.57 96.57 114.85
Element x y z (fractional)
Hg1 0.142 0.858 0.750
Hg2 0.858 0.142 0.250
Pd1 0.021 0.271 0.606
Pd2 0.228 0.488 0.954
Pd3 0.271 0.021 0.106
Pd4 0.488 0.228 0.454
Pd5 0.512 0.772 0.546
Pd6 0.729 0.979 0.894
Pd7 0.772 0.512 0.046
Pd8 0.979 0.729 0.394
Se1 0.463 0.537 0.250
Se2 0.537 0.463 0.750



# 6
A relaxed VReSn2N crystal, computed with PBE-GGA.

ΔE_f (raw): 1829.7 meV/atom

abc: 5.134 5.134 4.468
angles: 90.00 90.00 90.00
Element x y z (fractional)
V1 0.000 0.000 0.000
Re1 0.000 0.000 0.500
Sn1 0.000 0.500 0.000
Sn2 0.500 0.000 0.000
N1 0.500 0.500 0.500



# 7
A relaxed ThGe2PRu2 crystal, computed with PBE-GGA.

Final energy: -7.148 eV per atom

abc: 4.472 4.472 5.576
angles: 90.00 90.00 90.00
Element x y z (fractional)
Th1 0.000 0.000 0.000
Ge1 0.500 0.500 0.225
Ge2 0.500 0.500 0.775
P1 0.000 0.000 0.500
Ru1 0.000 0.500 0.500
Ru2 0.500 0.000 0.500



# 8
A relaxed CoAuBr2 crystal, computed with PBE-GGA.

Polymorph energy (0 for the lowest one): 1.23 eV/f.u.
ΔE_f (raw): 347.5 meV/atom

abc: 3.502 3.502 9.544
angles: 90.00 90.00 124.12
Element x y z (fractional)
Co1 0.000 0.000 0.000
Au1 0.000 0.000 0.500
Br1 0.500 0.500 0.175
Br2 0.500 0.500 0.825



# 9
A relaxed K2SrSb crystal, computed with PBE-GGA.

ΔE_f (raw): 27.7 meV/atom

abc: 13.469 13.469 13.469
angles: 17.70 17.70 17.70
Element x y z (fractional)
K1 0.231 0.231 0.231
K2 0.769 0.769 0.769
Sr1 0.000 0.000 0.000
Sb1 0.500 0.500 0.500



# 10
A relaxed SrCaAl2Si2N6 crystal, computed with PBE-GGA.

ΔE_f (raw): -1277.2 meV/atom

abc: 5.143 5.726 5.750
angles: 60.22 89.76 89.85
Element x y z (fractional)
Sr1 0.000 0.000 0.000
Ca1 0.498 0.988 0.386
Al1 0.024 0.342 0.353
Al2 0.526 0.642 0.012
Si1 0.018 0.642 0.702
Si2 0.521 0.349 0.659
N1 0.357 0.556 0.763
N2 0.382 0.417 0.352
N3 0.499 0.012 0.908
N4 0.855 0.450 0.583
N5 0.880 0.551 0.013
N6 0.990 0.978 0.467



# 11
A relaxed As2BrCl crystal, computed with PBE-GGA.

Polymorph energy (0 for the lowest one): 1.52 eV/f.u.
ΔE_f (raw): 59.1 meV/atom

abc: 7.613 7.613 7.613
angles: 152.73 145.87 44.22
Element x y z (fractional)
As1 0.000 0.000 0.000
As2 0.872 0.372 0.500
Br1 0.306 0.806 0.500
Cl1 0.541 0.541 0.000



# 12
A relaxed MnCu2Ir crystal, computed with PBE-GGA.

Final energy: -6.481 eV per atom

abc: 4.213 4.213 4.213
angles: 60.00 60.00 60.00
Element x y z (fractional)
Mn1 0.000 0.000 0.000
Cu1 0.500 0.500 0.500
Cu2 0.750 0.750 0.750
Ir1 0.250 0.250 0.250